*w*
Computed, not measured: a relaxed structure of ErBeIr at the GGA-PBE level of DFT.

Unit cell a=5.916 b=5.916 c=5.916 alpha=90.00 beta=90.00 gamma=90.00
Space group F-43m (No. 216)
Symmetry-distinct sites (fractional):
Er: 0.000 0.000 0.000 x4
Be: 0.250 0.250 0.250 x4
Ir: 0.000 0.000 0.500 x4

Output
**Density**: 11.82 g/cm3

*x*
Computed, not measured: a relaxed structure of ErBeIr at the GGA-PBE level of DFT.

Unit cell a=6.300 b=6.300 c=6.300 alpha=90.00 beta=90.00 gamma=90.00
Space group F-43m (No. 216)
Symmetry-distinct sites (fractional):
Er: 0.000 0.000 0.000 x4
Be: 0.250 0.250 0.750 x4
Ir: 0.250 0.250 0.250 x4

Output
**Density**: 9.79 g/cm3

What are the relative energies? In eV/atom: *w* 0.000; *x* 0.787.

*w*
Computed, not measured: a relaxed structure of ErBeMo at the GGA-PBE level of DFT.

Unit cell a=6.042 b=6.042 c=6.042 alpha=90.00 beta=90.00 gamma=90.00
Space group F-43m (No. 216)
Symmetry-distinct sites (fractional):
Er: 0.000 0.000 0.000 x4
Be: 0.250 0.250 0.250 x4
Mo: 0.000 0.000 0.500 x4

Output
**Density**: 8.20 g/cm3

*x*
Computed, not measured: a relaxed structure of ErBeMo at the GGA-PBE level of DFT.

Unit cell a=6.290 b=6.290 c=6.290 alpha=90.00 beta=90.00 gamma=90.00
Space group F-43m (No. 216)
Symmetry-distinct sites (fractional):
Er: 0.000 0.000 0.000 x4
Be: 0.250 0.250 0.750 x4
Mo: 0.250 0.250 0.250 x4

Output
**Density**: 7.26 g/cm3

What are the relative energies? In eV/atom: *w* 0.000; *x* 0.926.

*w*
Computed, not measured: a relaxed structure of ErBePO at the GGA-PBE level of DFT.

Unit cell a=3.720 b=3.720 c=8.288 alpha=90.00 beta=90.00 gamma=90.00
Space group P4/nmm (No. 129, origin choice 2)
Symmetry-distinct sites (fractional):
Er: 0.250 0.250 0.139 x2
Be: 0.250 0.750 0.500 x2
P: 0.250 0.250 0.652 x2
O: 0.250 0.750 0.000 x2

Output
**Density**: 6.47 g/cm3

*x*
Computed, not measured: a relaxed structure of ErBePO at the GGA-PBE level of DFT.

Unit cell a=3.100 b=5.606 c=6.516 alpha=90.00 beta=90.00 gamma=90.00
Space group Pmc2_1 (No. 26)
Symmetry-distinct sites (fractional):
Er: 0.000 0.220 0.000 x2
Be: 0.500 0.262 0.378 x2
P: 0.500 0.406 0.683 x2
O: 0.000 0.126 0.335 x2

Output
**Density**: 6.55 g/cm3

*y*
Computed, not measured: a relaxed structure of ErBePO at the GGA-PBE level of DFT.

Unit cell a=3.941 b=3.941 c=9.049 alpha=90.00 beta=90.00 gamma=90.00
Space group P4/nmm (No. 129, origin choice 2)
Symmetry-distinct sites (fractional):
Er: 0.250 0.750 0.000 x2
Be: 0.250 0.250 0.491 x2
P: 0.250 0.250 0.195 x2
O: 0.250 0.750 0.500 x2

Output
**Density**: 5.28 g/cm3

What are the relative energies? In eV/atom: *w* 0.000; *x* 0.325; *y* 1.389.

*w*
Computed, not measured: a relaxed structure of ErBeOs at the GGA-PBE level of DFT.

Unit cell a=6.273 b=6.273 c=6.273 alpha=90.00 beta=90.00 gamma=90.00
Space group F-43m (No. 216)
Symmetry-distinct sites (fractional):
Er: 0.000 0.000 0.000 x4
Be: 0.250 0.250 0.750 x4
Os: 0.250 0.250 0.250 x4

Output
**Density**: 9.86 g/cm3

*x*
Computed, not measured: a relaxed structure of ErBeOs at the GGA-PBE level of DFT.

Unit cell a=5.892 b=5.892 c=5.892 alpha=90.00 beta=90.00 gamma=90.00
Space group F-43m (No. 216)
Symmetry-distinct sites (fractional):
Er: 0.000 0.000 0.000 x4
Be: 0.250 0.250 0.250 x4
Os: 0.000 0.000 0.500 x4

Output
**Density**: 11.90 g/cm3

What are the relative energies? In eV/atom: *w* 1.053; *x* 0.000.